! Er5Co4Si14 (GGA-PBEsol, optimized geometry); values from VASP
! space group: P2_1/c
! spin magnetization: 0.00 μB per atom
! formation energy from raw total energies: -753 meV/atom
! total energy: -153.35 eV per formula unit
&SYSTEM
  ibrav = 0, nat = 46, ntyp = 3
/
ATOMIC_SPECIES
Er 167.26 Er.upf
Co 58.93 Co.upf
Si 28.09 Si.upf
CELL_PARAMETERS angstrom
7.656 0.000 -0.002
0.000 7.710 0.000
-1.877 0.000 12.039
ATOMIC_POSITIONS crystal
Er 0.000 0.000 0.500
Er 0.500 0.500 0.500
Er 0.158 0.252 0.136
Er 0.342 0.752 0.864
Er 0.842 0.748 0.864
Er 0.658 0.248 0.136
Er 0.840 0.249 0.865
Er 0.660 0.749 0.135
Er 0.160 0.751 0.135
Er 0.340 0.251 0.865
Co 0.873 0.374 0.500
Co 0.627 0.874 0.500
Co 0.127 0.626 0.500
Co 0.373 0.126 0.500
Co 0.939 0.000 0.251
Co 0.561 0.500 0.749
Co 0.061 0.000 0.749
Co 0.439 0.500 0.251
Si 0.833 0.667 0.500
Si 0.667 0.167 0.500
Si 0.167 0.333 0.500
Si 0.333 0.833 0.500
Si 0.889 0.500 0.060
Si 0.611 0.000 0.940
Si 0.111 0.500 0.940
Si 0.389 0.000 0.060
Si 0.770 0.994 0.678
Si 0.730 0.494 0.322
Si 0.230 0.006 0.322
Si 0.270 0.506 0.678
Si 0.683 0.994 0.322
Si 0.817 0.494 0.678
Si 0.317 0.006 0.678
Si 0.183 0.506 0.322
Si 0.950 0.273 0.322
Si 0.550 0.773 0.678
Si 0.050 0.727 0.678
Si 0.450 0.227 0.322
Si 0.962 0.727 0.322
Si 0.538 0.227 0.678
Si 0.038 0.273 0.678
Si 0.462 0.773 0.322
Si 0.890 0.000 0.060
Si 0.610 0.500 0.940
Si 0.110 0.000 0.940
Si 0.390 0.500 0.060

! ErCoSi (GGA-PBEsol, optimized geometry); values from VASP
! space group: Pnma
! spin magnetization: 0.00 μB per atom
! formation energy from raw total energies: -818 meV/atom
! total energy: -20.87 eV per formula unit
&SYSTEM
  ibrav = 0, nat = 12, ntyp = 3
/
ATOMIC_SPECIES
Si 28.09 Si.upf
Co 58.93 Co.upf
Er 167.26 Er.upf
CELL_PARAMETERS angstrom
-0.031 0.834 -4.035
6.397 -2.194 -0.503
-2.223 -6.191 -1.262
ATOMIC_POSITIONS crystal
Si 0.750 0.195 0.109
Si 0.750 0.695 0.391
Si 0.250 0.805 0.891
Si 0.250 0.305 0.609
Co 0.750 0.356 0.434
Co 0.750 0.856 0.066
Co 0.250 0.144 0.934
Co 0.250 0.644 0.566
Er 0.250 0.481 0.186
Er 0.750 0.019 0.686
Er 0.250 0.981 0.314
Er 0.750 0.519 0.814

! ErCoSn2 (GGA-PBEsol, optimized geometry); values from VASP
! space group: Cmcm
! spin magnetization: 0.00 μB per atom
! E_form: -402 meV/atom
! total energy: -22.79 eV per formula unit
&SYSTEM
  ibrav = 0, nat = 8, ntyp = 3
/
ATOMIC_SPECIES
Er 167.26 Er.upf
Co 58.93 Co.upf
Sn 118.71 Sn.upf
CELL_PARAMETERS angstrom
4.228 0.000 0.000
0.000 4.317 0.000
-2.114 0.000 9.216
ATOMIC_POSITIONS crystal
Er 0.117 0.750 0.234
Er 0.883 0.250 0.766
Co 0.677 0.250 0.354
Co 0.323 0.750 0.646
Sn 0.749 0.750 0.498
Sn 0.251 0.250 0.502
Sn 0.548 0.250 0.095
Sn 0.452 0.750 0.905

! Er7Co6Sn23 (GGA-PBEsol, optimized geometry); values from VASP
! space group: P-3m1
! spin magnetization: 0.00 μB per atom
! E_form: -468 meV/atom
! total energy: -195.72 eV per formula unit
&SYSTEM
  ibrav = 0, nat = 36, ntyp = 3
/
ATOMIC_SPECIES
Er 167.26 Er.upf
Co 58.93 Co.upf
Sn 118.71 Sn.upf
CELL_PARAMETERS angstrom
-2.931 -2.848 -8.586
-5.632 -1.162 7.573
-3.927 8.782 -1.572
ATOMIC_POSITIONS crystal
Er 0.521 0.042 0.693
Er 0.479 0.958 0.307
Er 0.521 0.479 0.693
Er 0.479 0.521 0.307
Er 0.958 0.479 0.693
Er 0.042 0.521 0.307
Er 0.000 0.000 0.000
Co 0.168 0.337 0.802
Co 0.832 0.663 0.198
Co 0.168 0.832 0.802
Co 0.832 0.168 0.198
Co 0.663 0.832 0.802
Co 0.337 0.168 0.198
Sn 0.882 0.764 0.726
Sn 0.118 0.236 0.274
Sn 0.882 0.118 0.726
Sn 0.118 0.882 0.274
Sn 0.236 0.118 0.726
Sn 0.764 0.882 0.274
Sn 0.218 0.436 0.546
Sn 0.782 0.564 0.454
Sn 0.218 0.782 0.546
Sn 0.782 0.218 0.454
Sn 0.564 0.782 0.546
Sn 0.436 0.218 0.454
Sn 0.653 0.653 0.000
Sn 0.347 0.347 0.000
Sn 0.000 0.347 0.000
Sn 0.000 0.653 0.000
Sn 0.347 0.000 0.000
Sn 0.653 0.000 0.000
Sn 0.667 0.333 0.882
Sn 0.333 0.667 0.118
Sn 0.667 0.333 0.180
Sn 0.333 0.667 0.820
Sn 0.000 0.000 0.500

! Er5Co2Te2 (GGA-PBEsol, optimized geometry); values from VASP
! space group: Cmcm
! spin magnetization: 0.00 μB per atom
! formation energy from raw total energies: -775 meV/atom
! total energy: -54.14 eV per formula unit
&SYSTEM
  ibrav = 0, nat = 18, ntyp = 3
/
ATOMIC_SPECIES
Er 167.26 Er.upf
Co 58.93 Co.upf
Te 127.60 Te.upf
CELL_PARAMETERS angstrom
3.838 0.000 0.000
-1.919 7.341 0.000
0.000 0.000 14.678
ATOMIC_POSITIONS crystal
Er 0.394 0.788 0.250
Er 0.259 0.517 0.869
Er 0.039 0.077 0.375
Er 0.961 0.923 0.625
Er 0.606 0.212 0.750
Er 0.039 0.077 0.125
Er 0.961 0.923 0.875
Er 0.741 0.483 0.369
Er 0.741 0.483 0.131
Er 0.259 0.517 0.631
Co 0.588 0.176 0.250
Co 0.412 0.824 0.750
Co 0.180 0.360 0.250
Co 0.820 0.640 0.750
Te 0.383 0.765 0.462
Te 0.383 0.765 0.038
Te 0.617 0.235 0.962
Te 0.617 0.235 0.538

! Eu2CoO4 (GGA-PBEsol, optimized geometry); values from VASP
! space group: I4/mmm
! spin magnetization: 1.72 μB per atom
! formation energy from raw total energies: -2379 meV/atom
! total energy: -66.51 eV per formula unit
&SYSTEM
  ibrav = 0, nat = 7, ntyp = 3
/
ATOMIC_SPECIES
Eu 151.96 Eu.upf
Co 58.93 Co.upf
O 16.00 O.upf
CELL_PARAMETERS angstrom
-2.027 2.635 -1.688
-2.837 -0.698 2.316
4.544 3.099 3.499
ATOMIC_POSITIONS crystal
Eu 0.640 0.640 0.280
Eu 0.360 0.360 0.720
Co 0.000 0.000 0.000
O 0.835 0.835 0.669
O 0.500 0.000 0.000
O 0.000 0.500 0.000
O 0.165 0.165 0.331

! EuCoO3 (GGA-PBEsol, optimized geometry); values from VASP
! space group: Pnma
! spin magnetization: 0.95 μB per atom
! formation energy from raw total energies: -2008 meV/atom
! total energy: -44.09 eV per formula unit
&SYSTEM
  ibrav = 0, nat = 20, ntyp = 3
/
ATOMIC_SPECIES
Eu 151.96 Eu.upf
Co 58.93 Co.upf
O 16.00 O.upf
CELL_PARAMETERS angstrom
-1.349 2.456 4.483
-4.783 1.029 -2.003
-2.553 -6.467 2.774
ATOMIC_POSITIONS crystal
Eu 0.005 0.463 0.250
Eu 0.995 0.537 0.750
Eu 0.505 0.037 0.750
Eu 0.495 0.963 0.250
Co 0.000 0.000 0.000
Co 0.500 0.500 0.000
Co 0.000 0.000 0.500
Co 0.500 0.500 0.500
O 0.289 0.211 0.033
O 0.711 0.789 0.967
O 0.789 0.289 0.967
O 0.711 0.789 0.533
O 0.211 0.711 0.033
O 0.289 0.211 0.467
O 0.211 0.711 0.467
O 0.789 0.289 0.533
O 0.564 0.506 0.250
O 0.436 0.494 0.750
O 0.064 0.994 0.750
O 0.936 0.006 0.250

! EuCoO3 (GGA-PBEsol, optimized geometry); values from VASP
! space group: Pm-3m
! spin magnetization: 1.62 μB per atom
! formation energy from raw total energies: -1939 meV/atom
! total energy: -43.74 eV per formula unit
&SYSTEM
  ibrav = 0, nat = 5, ntyp = 3
/
ATOMIC_SPECIES
Eu 151.96 Eu.upf
Co 58.93 Co.upf
O 16.00 O.upf
CELL_PARAMETERS angstrom
-1.485 -3.227 -1.149
1.858 0.294 -3.225
2.878 -1.855 1.489
ATOMIC_POSITIONS crystal
Eu 0.500 0.500 0.500
Co 0.000 0.000 0.000
O 0.500 0.000 0.000
O 0.000 0.500 0.000
O 0.000 0.000 0.500

! Eu2CoRuO6 (GGA-PBEsol, optimized geometry); values from VASP
! space group: P2_1/c
! spin magnetization: 1.10 μB per atom
! formation energy from raw total energies: -2008 meV/atom
! total energy: -90.62 eV per formula unit
&SYSTEM
  ibrav = 0, nat = 20, ntyp = 4
/
ATOMIC_SPECIES
Eu 151.96 Eu.upf
Co 58.93 Co.upf
Ru 101.07 Ru.upf
O 16.00 O.upf
CELL_PARAMETERS angstrom
5.296 0.000 0.011
0.000 5.509 0.000
-0.055 0.000 7.576
ATOMIC_POSITIONS crystal
Eu 0.515 0.941 0.248
Eu 0.485 0.059 0.752
Eu 0.985 0.441 0.252
Eu 0.015 0.559 0.748
Co 0.500 0.500 0.000
Co 0.000 0.000 0.500
Ru 0.500 0.500 0.500
Ru 0.000 0.000 0.000
O 0.703 0.199 0.456
O 0.297 0.801 0.544
O 0.797 0.699 0.044
O 0.203 0.301 0.956
O 0.806 0.707 0.456
O 0.194 0.293 0.544
O 0.694 0.207 0.044
O 0.306 0.793 0.956
O 0.414 0.519 0.244
O 0.586 0.481 0.756
O 0.086 0.019 0.256
O 0.914 0.981 0.744

! CoF2 (GGA-PBEsol, optimized geometry); values from VASP
! space group: P4_2/mnm
! spin magnetization: 1.00 μB per atom
! formation energy from raw total energies: -1626 meV/atom
! total energy: -16.47 eV per formula unit
&SYSTEM
  ibrav = 0, nat = 6, ntyp = 2
/
ATOMIC_SPECIES
Co 58.93 Co.upf
F 19.00 F.upf
CELL_PARAMETERS angstrom
3.145 0.000 0.000
0.000 4.626 0.000
0.000 0.000 4.626
ATOMIC_POSITIONS crystal
Co 0.000 0.000 0.000
Co 0.500 0.500 0.500
F 0.000 0.698 0.698
F 0.500 0.802 0.198
F 0.000 0.302 0.302
F 0.500 0.198 0.802

! Na2GaCoF (GGA-PBEsol, optimized geometry); values from VASP
! space group: P4/mmm
! spin magnetization: 0.34 μB per atom
! formation energy from raw total energies: -28 meV/atom
! total energy: -15.95 eV per formula unit
&SYSTEM
  ibrav = 0, nat = 5, ntyp = 4
/
ATOMIC_SPECIES
Na 22.99 Na.upf
Co 58.93 Co.upf
Ga 69.72 Ga.upf
F 19.00 F.upf
CELL_PARAMETERS angstrom
-2.058 1.374 -2.522
-4.618 -1.462 2.972
0.112 5.028 2.647
ATOMIC_POSITIONS crystal
Na 0.000 0.000 0.500
Na 0.000 0.500 0.000
Co 0.000 0.000 0.000
Ga 0.500 0.500 0.500
F 0.500 0.000 0.000

! GaCoOF2 (GGA-PBEsol, optimized geometry); values from VASP
! space group: P4/mmm
! spin magnetization: 0.44 μB per atom
! formation energy from raw total energies: -1056 meV/atom
! total energy: -25.46 eV per formula unit
&SYSTEM
  ibrav = 0, nat = 5, ntyp = 4
/
ATOMIC_SPECIES
Co 58.93 Co.upf
O 16.00 O.upf
Ga 69.72 Ga.upf
F 19.00 F.upf
CELL_PARAMETERS angstrom
3.667 0.000 0.000
0.000 3.934 0.000
0.000 0.000 3.934
ATOMIC_POSITIONS crystal
Co 0.500 0.500 0.500
O 0.500 0.000 0.000
Ga 0.000 0.000 0.000
F 0.000 0.000 0.500
F 0.000 0.500 0.000